# TaHgTe2, optimized geometry, DFT GGA-PBE
# - DOS(E_F): 2.80 states/eV per cell
# - Formation energy without anion corrections: -0.2376 eV/atom
data_TaHgTe2
_chemical_formula_sum 'Ta1 Hg1 Te2'
_symmetry_space_group_name_H-M 'P 1'
_symmetry_Int_Tables_number 1
_cell_length_a 3.689
_cell_length_b 3.692
_cell_length_c 10.296
_cell_angle_alpha 89.92
_cell_angle_beta 89.99
_cell_angle_gamma 60.04
loop_
_symmetry_equiv_pos_as_xyz
'x,y,z'
loop_
_atom_site_label
_atom_site_fract_x
_atom_site_fract_y
_atom_site_fract_z
Ta1 0.000 0.000 0.000
Hg1 0.001 0.004 0.500
Te1 0.666 0.667 0.821
Te2 0.667 0.665 0.179